First-principles (PBE with a Hubbard U) data for an optimized crystal structure of K2CoNi3F12, as listed in Alexandria.

Values from the calculation:
electronic total energy = -4.251 eV/atom
theoretical density = 3.477 g cm⁻³
Fermi-level density of states = 0.415 states/eV per atom

a = 7.208 Å, b = 7.208 Å, c = 7.208 Å
α = 58.94°, β = 58.94°, γ = 58.94°
Site moments in Bohr magnetons follow the coordinates.
Atoms (fractional coordinates):
F: 0.671 0.671 0.072  -0.02
F: 0.329 0.329 0.928  -0.02
F: 0.930 0.930 0.310  0.03
F: 0.310 0.930 0.930  0.03
F: 0.928 0.329 0.329  -0.02
F: 0.930 0.310 0.930  0.03
F: 0.070 0.690 0.070  0.03
F: 0.671 0.072 0.671  -0.02
F: 0.070 0.070 0.690  0.03
F: 0.329 0.928 0.329  -0.02
F: 0.072 0.671 0.671  -0.02
F: 0.690 0.070 0.070  0.03
Ni: 0.000 0.500 0.000  1.69
Ni: 0.000 0.000 0.500  1.69
Ni: 0.500 0.000 0.000  1.69
Co: 0.000 0.000 0.000  0.20
K: 0.377 0.377 0.377  0.00
K: 0.623 0.623 0.623  0.00